{"formula": "Ho2Er3Ga3", "functional": "PBE-GGA", "state": "relaxed", "lattice_angstrom": [[6.5852, 0.0000, 0.0000], [0.0000, 4.7825, 0.0000], [-1.9526, 0.0000, 6.3233]], "species": ["Er", "Er", "Er", "Ga", "Ga", "Ga", "Ho", "Ho"], "frac_coords": [[0.8691, 0.5000, 0.1240], [0.8795, 0.5000, 0.6289], [0.1714, 0.0000, 0.9152], [0.3684, 0.5000, 0.1237], [0.0702, 0.0000, 0.4288], [0.6833, 0.0000, 0.8224], [0.5821, 0.0000, 0.3341], [0.3761, 0.5000, 0.6230]], "relative_energy_ev_per_fu": 0.00, "volume_a3_per_atom": 24.893}

---

{"formula": "Ho2ErGa5", "functional": "PBE-GGA", "state": "relaxed", "lattice_angstrom": [[4.7321, 0.0000, 0.0000], [0.0000, 3.6781, 4.8210], [0.0000, -3.6781, 4.8210]], "species": ["Er", "Ga", "Ga", "Ga", "Ga", "Ga", "Ho", "Ho"], "frac_coords": [[0.0000, 0.9027, 0.9027], [0.5000, 0.1263, 0.1263], [0.5000, 0.6327, 0.1462], [0.0000, 0.8294, 0.3887], [0.5000, 0.1462, 0.6327], [0.0000, 0.3887, 0.8294], [0.0000, 0.3295, 0.3295], [0.5000, 0.6446, 0.6446]], "energy_ev_per_atom": -4.098, "volume_a3_per_atom": 20.977}

---

{"formula": "Ho2Er3Ga3", "functional": "PBE-GGA", "state": "relaxed", "lattice_angstrom": [[-0.8335, -0.4236, 5.3611], [4.0020, -4.8075, 0.2424], [5.8004, 2.0982, 1.0675]], "species": ["Er", "Er", "Er", "Ga", "Ga", "Ga", "Ho", "Ho"], "frac_coords": [[0.5000, 0.6860, 0.1864], [0.5000, 0.1864, 0.6860], [0.0000, 0.8688, 0.8688], [0.5000, 0.1680, 0.1680], [0.0000, 0.7469, 0.3914], [0.0000, 0.3914, 0.7469], [0.0000, 0.2712, 0.2712], [0.5000, 0.6812, 0.6812]], "relative_energy_ev_per_fu": 1.15, "volume_a3_per_atom": 25.054}

---

{"formula": "HoErGa5", "functional": "PBE-GGA", "state": "relaxed", "lattice_angstrom": [[4.2007, 0.0000, 0.0000], [0.0000, 4.2007, 0.0000], [0.0000, 0.0000, 8.3099]], "species": ["Er", "Ga", "Ga", "Ga", "Ga", "Ga", "Ho"], "frac_coords": [[0.0000, 0.0000, 0.5000], [0.5000, 0.5000, 0.0000], [0.5000, 0.0000, 0.2549], [0.0000, 0.5000, 0.2549], [0.5000, 0.0000, 0.7451], [0.0000, 0.5000, 0.7451], [0.0000, 0.0000, 0.0000]], "energy_ev_per_atom": -3.894, "volume_a3_per_atom": 20.948}

---

{"formula": "HoEr2Ga", "functional": "PBE-GGA", "state": "relaxed", "lattice_angstrom": [[3.3552, -5.8516, 0.0000], [3.3552, 5.8516, 0.0000], [0.0000, 0.0000, 5.1915]], "species": ["Er", "Er", "Er", "Er", "Ga", "Ga", "Ho", "Ho"], "frac_coords": [[0.1514, 0.3243, 0.2500], [0.6757, 0.8486, 0.2500], [0.3243, 0.1514, 0.7500], [0.8486, 0.6757, 0.7500], [0.1645, 0.8355, 0.2500], [0.8355, 0.1645, 0.7500], [0.6765, 0.3235, 0.2500], [0.3235, 0.6765, 0.7500]], "relative_energy_ev_per_fu": 0.06, "volume_a3_per_atom": 25.481}

---

{"formula": "HoErGa2", "functional": "PBE-GGA", "state": "relaxed", "lattice_angstrom": [[-5.2486, 3.1670, 0.1627], [0.7011, -3.1101, 5.2382], [2.4229, 3.9126, 1.9988]], "species": ["Er", "Er", "Ga", "Ga", "Ga", "Ga", "Ho", "Ho"], "frac_coords": [[0.3720, 0.6280, 0.2500], [0.6280, 0.3720, 0.7500], [0.3757, 0.1303, 0.2500], [0.8697, 0.6243, 0.2500], [0.1303, 0.3757, 0.7500], [0.6243, 0.8697, 0.7500], [0.8745, 0.1255, 0.2500], [0.1255, 0.8745, 0.7500]], "energy_ev_per_atom": -4.373, "volume_a3_per_atom": 22.203}

---

{"formula": "HoErGa4", "functional": "PBE-GGA", "state": "relaxed", "lattice_angstrom": [[-1.4269, 0.9790, -3.9467], [-6.0325, -3.2839, 1.3665], [-6.4746, 0.8116, 2.5423]], "species": ["Er", "Ga", "Ga", "Ga", "Ga", "Ho"], "frac_coords": [[0.0000, 0.6515, 0.6515], [0.0000, 0.0003, 0.0003], [0.5000, 0.1758, 0.1758], [0.5000, 0.5004, 0.5004], [0.5000, 0.8234, 0.8234], [0.0000, 0.3485, 0.3485]], "relative_energy_ev_per_fu": 0.18, "volume_a3_per_atom": 20.514}

---

{"formula": "HoErGa2", "functional": "PBE-GGA", "state": "relaxed", "lattice_angstrom": [[5.2194, 0.0000, 0.0000], [0.0000, 5.8557, 3.0184], [0.0000, -5.8557, 3.0184]], "species": ["Er", "Er", "Ga", "Ga", "Ga", "Ga", "Ho", "Ho"], "frac_coords": [[0.2500, 0.3024, 0.1595], [0.7500, 0.1595, 0.3024], [0.2500, 0.8479, 0.1832], [0.2500, 0.8002, 0.6783], [0.7500, 0.6783, 0.8002], [0.7500, 0.1832, 0.8479], [0.7500, 0.7019, 0.3265], [0.2500, 0.3265, 0.7019]], "energy_ev_per_atom": -4.119, "volume_a3_per_atom": 23.063}